Entry from Alexandria: an optimized crystal structure of BeTcS3 (PBE).

Calculated values
The polymorph energy (0 for the lowest one) is 0 meV/atom. The value obtained for the mass density is 4.494 g/cm3. The raw formation energy is 0.641 eV/atom. The calculation puts the total magnetic moment at 1.60 μB/cell. The density of states at the Fermi level comes out at 3.99 states/eV/f.u.

POSCAR file:
```
BeTcS3
1.0
-1.4496 2.0290 3.4030
-1.2403 -3.6739 1.6622
3.7628 -0.4293 1.8589
S Be Tc
3 1 1
direct
0.5000 0.0000 0.0000
0.0000 0.0000 0.5000
0.0000 0.5000 0.0000
0.0000 0.0000 0.0000
0.5000 0.5000 0.5000
```